BaTcS3 (GGA-PBE, optimized geometry); offset from the most stable computed form = 0.63 eV per formula unit; uncorrected formation energy = -0.848 eV/atom
1.0
4.7836 0.0000 0.0000
0.0000 4.7836 0.0000
0.0000 0.0000 4.7836
Ba Tc S
1 1 3
direct
0.0000 0.0000 0.0000
0.5000 0.5000 0.5000
0.0000 0.5000 0.5000
0.5000 0.0000 0.5000
0.5000 0.5000 0.0000

SmSi3Rh5 (GGA-PBE, optimized geometry); uncorrected formation energy = -0.794 eV/atom
1.0
1.9672 -6.1600 0.0000
1.9672 6.1600 0.0000
0.0000 0.0000 12.1951
Sm Si Rh
2 6 10
direct
0.1609 0.8391 0.7500
0.8391 0.1609 0.2500
0.1122 0.8878 0.2500
0.3840 0.6160 0.0407
0.3840 0.6160 0.4593
0.6160 0.3840 0.5407
0.6160 0.3840 0.9593
0.8878 0.1122 0.7500
0.0000 0.0000 0.0000
0.0000 0.0000 0.5000
0.2027 0.7973 0.0742
0.2027 0.7973 0.4258
0.4487 0.5513 0.6441
0.4487 0.5513 0.8559
0.5513 0.4487 0.1441
0.5513 0.4487 0.3559
0.7973 0.2027 0.5742
0.7973 0.2027 0.9258

YLu2Cu (GGA-PBE, optimized geometry); offset from the most stable computed form = 0.00 eV per formula unit
1.0
3.4241 0.0000 0.0000
0.0000 3.4241 0.0000
0.0000 0.0000 8.6402
Y Lu Cu
1 2 1
direct
0.0000 0.0000 0.0000
0.5000 0.5000 0.3057
0.5000 0.5000 0.6943
0.0000 0.0000 0.5000

Ca2ZnAs3Rh4 (GGA-PBE, optimized geometry); energy = -56.158 eV per cell
1.0
4.1708 0.0000 0.0000
0.0000 4.1708 0.0000
0.0000 0.0000 10.3752
Ca Zn As Rh
2 1 3 4
direct
0.0000 0.5000 0.2458
0.5000 0.0000 0.7542
0.5000 0.5000 0.0000
0.0000 0.0000 0.0000
0.0000 0.5000 0.6347
0.5000 0.0000 0.3653
0.0000 0.0000 0.5000
0.0000 0.5000 0.8659
0.5000 0.0000 0.1341
0.5000 0.5000 0.5000

LiZn2Ir2 (GGA-PBE, optimized geometry); offset from the most stable computed form = 1.41 eV per formula unit
1.0
-2.2434 2.2434 4.5354
2.2434 -2.2434 4.5354
2.2434 2.2434 -4.5354
Li Zn Ir
1 2 2
direct
0.0000 0.0000 0.0000
0.2500 0.7500 0.5000
0.7500 0.2500 0.5000
0.3703 0.3703 0.0000
0.6297 0.6297 0.0000

PmGdIr2 (GGA-PBE, optimized geometry); offset from the most stable computed form = 0.00 eV per formula unit
1.0
4.8357 0.0000 0.0000
0.0000 4.8357 0.0000
0.0000 0.0000 3.6351
Pm Gd Ir
1 1 2
direct
0.0000 0.0000 0.0000
0.5000 0.5000 0.0000
0.0000 0.5000 0.5000
0.5000 0.0000 0.5000

V, record by record: 109; 296; 101; 180; 91; 85 Å³/cell